Na2HfSc | PBE | optimized geometry

```
Na2HfSc
1.0
8.549 0.000 0.000
0.000 8.549 0.000
4.275 4.275 2.863
Sc Na Hf
2 4 2
Direct
0.500 0.500 0.000
0.250 0.750 0.500
0.875 0.869 0.750
0.375 0.381 0.750
0.131 0.625 0.250
0.619 0.125 0.250
0.750 0.250 0.500
0.000 0.000 0.000
```

Output
Total moment, μB per cell: 0.00
Calculated volume, Å³ per cell: 209.24
Uncorrected energy, eV/atom: -3.774
Calculated formation energy, meV/atom: 956